No. 1
DFT (GGA-PBE) results for a relaxed GeAs2Ru crystal. Values from VASP.

As for the space group: I-42d (122). The calculation puts the calculated formation energy at 0.38 eV per formula unit. For the total energy, the calculation gives -5.703 eV per atom.

Cell and atoms, written as Quantum ESPRESSO input:
```
&SYSTEM
  ibrav = 0, nat = 8, ntyp = 3
/
ATOMIC_SPECIES
Ge 72.64 Ge.upf
As 74.92 As.upf
Ru 101.07 Ru.upf
ATOMIC_POSITIONS crystal
Ge 0.000 0.000 0.000
Ge 0.750 0.250 0.500
As 0.149 0.625 0.024
As 0.375 0.399 0.524
As 0.601 0.125 0.976
As 0.875 0.851 0.476
Ru 0.250 0.750 0.500
Ru 0.500 0.500 0.000
CELL_PARAMETERS angstrom
-2.890 2.890 5.505
2.890 -2.890 5.505
2.890 2.890 -5.505
```



No. 2
DFT (GGA-PBE) results for a relaxed Ti8Ga2Os crystal. Values from VASP.

As for the space group: Immm (71). The calculation puts the calculated formation energy at -3.31 eV per formula unit. For the total energy, the calculation gives -7.614 eV per atom.

Cell and atoms, written as Quantum ESPRESSO input:
```
&SYSTEM
  ibrav = 0, nat = 11, ntyp = 3
/
ATOMIC_SPECIES
Ti 47.87 Ti.upf
Ga 69.72 Ga.upf
Os 190.23 Os.upf
ATOMIC_POSITIONS crystal
Ti 0.132 0.361 0.772
Ti 0.174 0.174 0.000
Ti 0.265 0.000 0.265
Ti 0.411 0.639 0.772
Ti 0.589 0.361 0.228
Ti 0.735 0.000 0.735
Ti 0.826 0.826 0.000
Ti 0.868 0.639 0.228
Ga 0.312 0.812 0.500
Ga 0.688 0.188 0.500
Os 0.000 0.500 0.500
CELL_PARAMETERS angstrom
-2.256 3.080 6.577
2.256 -3.080 6.577
2.256 3.080 -6.577
```



No. 3
DFT (GGA-PBE) results for a relaxed KCdW2 crystal. Values from VASP.

As for the space group: R-3m (166). The calculation puts the calculated formation energy at 4.64 eV per formula unit. For the total energy, the calculation gives -5.819 eV per atom.

Cell and atoms, written as Quantum ESPRESSO input:
```
&SYSTEM
  ibrav = 0, nat = 4, ntyp = 3
/
ATOMIC_SPECIES
K 39.10 K.upf
Cd 112.41 Cd.upf
W 183.84 W.upf
ATOMIC_POSITIONS crystal
K 0.000 0.000 0.000
Cd 0.500 0.500 0.500
W 0.241 0.241 0.241
W 0.759 0.759 0.759
CELL_PARAMETERS angstrom
1.436 0.829 11.315
-1.436 0.829 11.315
0.000 -1.658 11.315
```



No. 4
DFT (GGA-PBE) results for a relaxed TmTcRu crystal. Values from VASP.

As for the relative energy among the computed polymorphs: 44.0 kJ/mol of atoms. As for the space group: C2/m (12). The calculation puts the calculated formation energy at 0.42 eV per formula unit. For the total energy, the calculation gives -7.898 eV per atom.

Cell and atoms, written as Quantum ESPRESSO input:
```
&SYSTEM
  ibrav = 0, nat = 6, ntyp = 3
/
ATOMIC_SPECIES
Tm 168.93 Tm.upf
Tc 98.00 Tc.upf
Ru 101.07 Ru.upf
ATOMIC_POSITIONS crystal
Tm 0.142 0.142 0.396
Tm 0.858 0.858 0.604
Tc 0.000 0.500 0.000
Tc 0.500 0.000 0.000
Ru 0.494 0.494 0.735
Ru 0.506 0.506 0.265
CELL_PARAMETERS angstrom
4.279 -2.585 0.000
4.279 2.585 0.000
-1.255 0.000 5.012
```



No. 5
DFT (GGA-PBE) results for a relaxed CdIr4 crystal. Values from VASP.

As for the relative energy among the computed polymorphs: 16.5 kJ/mol of atoms. As for the space group: I4/mmm (139). The calculation puts the calculated formation energy at 1.80 eV per formula unit. For the total energy, the calculation gives -6.912 eV per atom.

Cell and atoms, written as Quantum ESPRESSO input:
```
&SYSTEM
  ibrav = 0, nat = 5, ntyp = 2
/
ATOMIC_SPECIES
Cd 112.41 Cd.upf
Ir 192.22 Ir.upf
ATOMIC_POSITIONS crystal
Cd 0.000 0.000 0.000
Ir 0.250 0.750 0.500
Ir 0.399 0.399 0.000
Ir 0.601 0.601 0.000
Ir 0.750 0.250 0.500
CELL_PARAMETERS angstrom
-1.858 1.858 6.239
1.858 -1.858 6.239
1.858 1.858 -6.239
```



No. 6
DFT (GGA-PBE) results for a relaxed GaHgSb2Pd crystal. Values from VASP.

As for the relative energy among the computed polymorphs: 18.8 kJ/mol of atoms. As for the space group: P4/mmm (123). Its raw formation energy is 2.173 eV/f.u. For the total energy, the calculation gives -2.919 eV per atom.

Cell and atoms, written as Quantum ESPRESSO input:
```
&SYSTEM
  ibrav = 0, nat = 5, ntyp = 4
/
ATOMIC_SPECIES
Ga 69.72 Ga.upf
Hg 200.59 Hg.upf
Sb 121.76 Sb.upf
Pd 106.42 Pd.upf
ATOMIC_POSITIONS crystal
Ga 0.000 0.000 0.000
Hg 0.500 0.500 0.500
Sb 0.000 0.500 0.000
Sb 0.500 0.000 0.000
Pd 0.000 0.000 0.500
CELL_PARAMETERS angstrom
5.337 0.000 0.000
0.000 5.337 0.000
0.000 0.000 4.756
```



No. 7
DFT (GGA-PBE) results for a relaxed LaTa2Br crystal. Values from VASP.

As for the relative energy among the computed polymorphs: 42.3 kJ/mol of atoms. As for the space group: Cm (8). Its raw formation energy is 1.460 eV/f.u. For the total energy, the calculation gives -7.211 eV per atom.

Cell and atoms, written as Quantum ESPRESSO input:
```
&SYSTEM
  ibrav = 0, nat = 4, ntyp = 3
/
ATOMIC_SPECIES
La 138.91 La.upf
Ta 180.95 Ta.upf
Br 79.90 Br.upf
ATOMIC_POSITIONS crystal
La 0.000 0.000 0.000
Ta 0.219 0.219 0.597
Ta 0.492 0.492 0.532
Br 0.773 0.773 0.245
CELL_PARAMETERS angstrom
4.917 -1.613 0.000
4.917 1.613 0.000
-1.610 0.000 6.107
```



No. 8
DFT (GGA-PBE) results for a relaxed Co3SiMo crystal. Values from VASP.

As for the relative energy among the computed polymorphs: 162.7 kJ/mol of atoms. As for the space group: Pm-3m (221). Its raw formation energy is 7.857 eV/f.u. For the total energy, the calculation gives -5.943 eV per atom.

Cell and atoms, written as Quantum ESPRESSO input:
```
&SYSTEM
  ibrav = 0, nat = 5, ntyp = 3
/
ATOMIC_SPECIES
Co 58.93 Co.upf
Si 28.09 Si.upf
Mo 95.94 Mo.upf
ATOMIC_POSITIONS crystal
Co 0.000 0.000 0.500
Co 0.000 0.500 0.000
Co 0.500 0.000 0.000
Si 0.500 0.500 0.500
Mo 0.000 0.000 0.000
CELL_PARAMETERS angstrom
4.388 0.000 0.000
0.000 4.388 0.000
0.000 0.000 4.388
```